P) Here is an optimized crystal structure of PtOF2 from Alexandria. Energies are from PBE. Values from VASP.

Cell and atoms, written as Quantum ESPRESSO input:
```
&SYSTEM
  ibrav = 0, nat = 4, ntyp = 3
/
ATOMIC_SPECIES
Pt 195.08 Pt.upf
O 16.00 O.upf
F 19.00 F.upf
CELL_PARAMETERS angstrom
0.000 2.764 2.764
2.764 0.000 2.764
2.764 2.764 0.000
ATOMIC_POSITIONS crystal
Pt 0.000 0.000 0.000
O 0.500 0.500 0.500
F 0.250 0.250 0.250
F 0.750 0.750 0.750
```



Q) Here is an optimized crystal structure of PtOF2 from Alexandria. Energies are from PBE. Values from VASP.

Cell and atoms, written as Quantum ESPRESSO input:
```
&SYSTEM
  ibrav = 0, nat = 8, ntyp = 3
/
ATOMIC_SPECIES
Pt 195.08 Pt.upf
O 16.00 O.upf
F 19.00 F.upf
CELL_PARAMETERS angstrom
-4.244 4.244 1.843
4.244 -4.244 1.843
4.244 4.244 -1.843
ATOMIC_POSITIONS crystal
Pt 0.000 0.000 0.000
Pt 0.750 0.250 0.500
O 0.250 0.750 0.500
O 0.500 0.500 0.000
F 0.375 0.131 0.256
F 0.869 0.125 0.244
F 0.875 0.119 0.744
F 0.881 0.625 0.756
```



Relative energies, meV/atom: P) 1190; Q) 0.



P) Here is an optimized crystal structure of PtOF2 from Alexandria. Energies are from PBE. Values from VASP.

Cell and atoms, written as Quantum ESPRESSO input:
```
&SYSTEM
  ibrav = 0, nat = 4, ntyp = 3
/
ATOMIC_SPECIES
Pt 195.08 Pt.upf
O 16.00 O.upf
F 19.00 F.upf
CELL_PARAMETERS angstrom
1.338 0.773 9.155
-1.338 0.773 9.155
0.000 -1.545 9.155
ATOMIC_POSITIONS crystal
Pt 0.000 0.000 0.000
O 0.500 0.500 0.500
F 0.070 0.070 0.070
F 0.930 0.930 0.930
```



Q) Here is an optimized crystal structure of PtOF2 from Alexandria. Energies are from PBE. Values from VASP.

Cell and atoms, written as Quantum ESPRESSO input:
```
&SYSTEM
  ibrav = 0, nat = 4, ntyp = 3
/
ATOMIC_SPECIES
Pt 195.08 Pt.upf
O 16.00 O.upf
F 19.00 F.upf
CELL_PARAMETERS angstrom
1.364 0.788 7.406
-1.364 0.788 7.406
0.000 -1.575 7.406
ATOMIC_POSITIONS crystal
Pt 0.000 0.000 0.000
O 0.500 0.500 0.500
F 0.424 0.424 0.424
F 0.576 0.576 0.576
```



Relative energies, meV/atom: P) 0; Q) 194.



P) Here is an optimized crystal structure of Pt2OF2 from Alexandria. Energies are from PBE. Values from VASP.

Cell and atoms, written as Quantum ESPRESSO input:
```
&SYSTEM
  ibrav = 0, nat = 5, ntyp = 3
/
ATOMIC_SPECIES
Pt 195.08 Pt.upf
O 16.00 O.upf
F 19.00 F.upf
CELL_PARAMETERS angstrom
-1.682 1.682 5.740
1.682 -1.682 5.740
1.682 1.682 -5.740
ATOMIC_POSITIONS crystal
Pt 0.105 0.105 0.000
Pt 0.895 0.895 0.000
O 0.500 0.500 0.000
F 0.250 0.750 0.500
F 0.750 0.250 0.500
```



Q) Here is an optimized crystal structure of Pt2OF2 from Alexandria. Energies are from PBE. Values from VASP.

Cell and atoms, written as Quantum ESPRESSO input:
```
&SYSTEM
  ibrav = 0, nat = 10, ntyp = 3
/
ATOMIC_SPECIES
Pt 195.08 Pt.upf
O 16.00 O.upf
F 19.00 F.upf
CELL_PARAMETERS angstrom
5.854 0.000 0.000
0.000 5.854 0.000
0.000 0.000 4.149
ATOMIC_POSITIONS crystal
Pt 0.246 0.254 0.000
Pt 0.254 0.754 0.000
Pt 0.746 0.246 0.000
Pt 0.754 0.746 0.000
O 0.000 0.000 0.000
O 0.500 0.500 0.000
F 0.230 0.270 0.500
F 0.270 0.770 0.500
F 0.730 0.230 0.500
F 0.770 0.730 0.500
```



Relative energies, meV/atom: P) 723; Q) 0.